A plane-wave DFT calculation with PBE was carried out for a geometry-optimized Sc structure.

Computed properties:
The energy of formation comes out at 22.2 meV/atom. Its electronic total energy is -6.309 eV per atom.

Unit cell a=3.2843 b=3.2843 c=10.4711 alpha=90.00 beta=90.00 gamma=120.00
Closest atoms and distances in Å follow each position.
Space group P6_3/mmc (No. 194)
Inequivalent atoms, fractional coordinates:
Sc 0.0000 0.0000 0.0000 [2 per cell]  12 Sc 3.23-3.28
Sc 0.3333 0.6667 0.2500 [2 per cell]  12 Sc 3.23-3.28



A plane-wave DFT calculation with PBE was carried out for a geometry-optimized Sc structure.

Computed properties:
The energy of formation comes out at 191.5 meV/atom. Its electronic total energy is -6.140 eV per atom.

Unit cell a=3.3944 b=5.2266 c=11.2589 alpha=90.00 beta=90.00 gamma=90.00
Closest atoms and distances in Å follow each position.
Space group Fmmm (No. 69)
Inequivalent atoms, fractional coordinates:
Sc 0.0000 0.0000 0.1377 [8 per cell]  9 Sc 3.04-3.39



A plane-wave DFT calculation with PBE was carried out for a geometry-optimized Sc structure.

Computed properties:
The energy of formation comes out at 205.8 meV/atom. Its electronic total energy is -6.126 eV per atom.

Unit cell a=6.1645 b=6.1645 c=5.4043 alpha=90.00 beta=90.00 gamma=90.00
Closest atoms and distances in Å follow each position.
Space group I4/mcm (No. 140)
Inequivalent atoms, fractional coordinates:
Sc 0.1644 0.3356 0.0000 [8 per cell]  3 Sc 2.87-3.09



Taking the records one at a time from the top gives energy above the lowest structure with this stoichiometry values of 22.2; 191.5; 205.8 meV/atom.
Taking the records one at a time from the top gives N(E_F) values of 2.105; 1.638; 1.825 states/eV per atom.